The following is a DFT calculation (PBEsol) of a geometry-optimized Be3Ru structure.

As for the formation energy: -0.300 eV per atom. For the total moment, the calculation gives 0.0 μB/f.u. The calculation puts the electronic total energy at -46.74 eV for the cell shown.

The structure belongs to space group P6_3/mmc (No. 194); the cell edges are 4.7560, 4.7560 and 3.7428 Å and the angles 90.00°, 90.00° and 120.00°. The inequivalent atoms are Be at (0.1620, 0.3240, 0.2500) and Ru at (0.3333, 0.6667, 0.7500).